(1)
5
Lattice="6.190 0.000 0.000 0.000 6.190 0.000 0.000 0.000 6.190" Properties=species:S:1:pos:R:3 comment="LaBi3P, optimized geometry, DFT GGA-PBE" ef_mev_per_atom=1011 e_above_lowest_polymorph_mev_per_atom=1020 e_tot_ev_per_atom=-3.385 magnetic_moment_mub_per_fu=2.53 volume_a3_per_cell=237 pbc="T T T"
La 0.000 0.000 0.000
Bi 0.000 0.000 3.095
Bi 0.000 3.095 0.000
Bi 3.095 0.000 0.000
P 3.095 3.095 3.095



(2)
12
Lattice="3.065 -3.403 0.000 3.065 3.403 0.000 -0.791 0.000 11.536" Properties=species:S:1:pos:R:3 comment="LaBi2P2Pd7, optimized geometry, DFT GGA-PBE" ef_mev_per_atom=-530 e_tot_ev_per_atom=-5.519 magnetic_moment_mub_per_fu=0.00 volume_a3_per_cell=241 pbc="T T T"
La 0.000 0.000 0.000
Bi 0.626 0.000 4.452
Bi 4.714 0.000 7.084
P 1.334 0.000 9.380
P 4.007 0.000 2.156
Pd 2.106 1.416 2.463
Pd 1.772 0.000 7.011
Pd 3.234 1.416 9.073
Pd 3.065 0.000 0.000
Pd 2.106 -1.416 2.463
Pd 3.568 0.000 4.525
Pd 3.234 -1.416 9.073



(3)
20
Lattice="5.591 0.000 0.000 0.000 8.946 0.000 0.000 0.000 8.676" Properties=species:S:1:pos:R:3 comment="La2BiPPd6, optimized geometry, DFT GGA-PBE" ef_mev_per_atom=-728 e_tot_ev_per_atom=-5.759 magnetic_moment_mub_per_fu=0.00 volume_a3_per_cell=434 pbc="T T T"
La 1.398 0.029 2.148
La 1.398 4.443 2.148
La 4.193 4.502 6.528
La 4.193 8.916 6.528
Bi 1.398 2.236 6.906
Bi 4.193 6.709 1.770
P 1.398 6.709 6.250
P 4.193 2.236 2.426
Pd 0.012 2.236 4.351
Pd 0.036 6.709 8.149
Pd 1.398 4.497 5.274
Pd 1.398 8.922 5.274
Pd 2.759 6.709 8.149
Pd 2.784 2.236 4.351
Pd 2.807 6.709 4.324
Pd 2.832 2.236 0.526
Pd 4.193 0.024 3.402
Pd 4.193 4.449 3.402
Pd 5.555 2.236 0.526
Pd 5.579 6.709 4.324



(4)
4
Lattice="2.185 1.262 7.359 -2.185 1.262 7.359 0.000 -2.523 7.359" Properties=species:S:1:pos:R:3 comment="LaPmBiP, optimized geometry, DFT GGA-PBE" ef_mev_per_atom=-1246 e_tot_ev_per_atom=-5.988 magnetic_moment_mub_per_fu=0.00 volume_a3_per_cell=122 pbc="T T T"
La 0.000 0.000 0.000
Pm 0.000 0.000 11.460
Bi 0.000 0.000 16.819
P 0.000 0.000 5.693



(5)
4
Lattice="2.203 1.272 7.409 -2.203 1.272 7.409 0.000 -2.544 7.409" Properties=species:S:1:pos:R:3 comment="LaPrBiP, optimized geometry, DFT GGA-PBE" ef_mev_per_atom=-1242 e_tot_ev_per_atom=-5.991 magnetic_moment_mub_per_fu=0.00 volume_a3_per_cell=125 pbc="T T T"
La 0.000 0.000 0.000
Pr 0.000 0.000 10.697
Bi 0.000 0.000 5.326
P 0.000 0.000 16.470



(6)
12
Lattice="2.870 -2.872 0.000 2.870 2.872 0.000 -2.860 0.000 15.005" Properties=species:S:1:pos:R:3 comment="LaBi2P2Pt7, optimized geometry, DFT GGA-PBE" ef_mev_per_atom=-588 e_tot_ev_per_atom=-6.071 magnetic_moment_mub_per_fu=0.00 volume_a3_per_cell=247 pbc="T T T"
La 0.000 0.000 0.000
Bi 0.001 0.000 6.326
Bi 2.879 0.000 8.679
P 0.013 0.000 11.440
P 2.867 0.000 3.566
Pt 1.431 1.435 2.322
Pt 0.005 0.000 9.157
Pt 1.449 1.435 12.683
Pt 2.870 0.000 0.000
Pt 1.431 -1.435 2.322
Pt 2.875 0.000 5.849
Pt 1.449 -1.435 12.683